The following is a DFT calculation (GGA-PBE) of a relaxed structure of Pm2PrSm8.

The structure belongs to space group C2/m (No. 12); the cell edges are 16.8659, 6.7927 and 6.7822 Å and the angles 90.00°, 99.81° and 90.00°. The inequivalent atoms are Pm at (0.2029, 0.0000, 0.3022), Pr at (0.0000, 0.0000, 0.5000), Sm at (0.0893, 0.2635, 0.9099), Sm at (0.0891, 0.5000, 0.4088) and Sm at (0.2441, 0.0000, 0.8096).

Its formation energy is 0.1555 eV per atom. For the distance to the lowest polymorph of the same formula, the calculation gives 48 meV per atom. The value obtained for the raw total energy is -0.168 hartree per atom.